Entry one
VASP calculation (PBE) on an optimized crystal structure of Na2SiSe.

The structure in POSCAR format:
```
Na2SiSe
1.0
-2.053 7.853 -1.231
-3.852 0.129 7.249
-0.584 4.805 4.253
Se Na Si
2 4 2
Cartesian
-2.795 8.324 3.016
0.000 0.000 0.000
-2.554 6.594 5.262
-5.703 10.591 8.641
-1.963 6.326 1.169
-2.758 2.063 5.471
-3.694 4.462 7.255
-2.953 3.991 3.009
```

Computed properties:
space-group type = I-42d
mass density = 2.70 Mg/m³


Entry two
VASP calculation (PBE) on an optimized crystal structure of Na2SiSe.

The structure in POSCAR format:
```
Na2SiSe
1.0
0.000 3.542 3.542
3.542 0.000 3.542
3.542 3.542 0.000
Se Si Na
1 1 2
Cartesian
3.542 3.542 3.542
0.000 0.000 0.000
1.771 1.771 1.771
5.313 5.313 5.313
```

Computed properties:
space-group type = Fm-3m
mass density = 2.86 Mg/m³


Stability summary - winner: entry one; margin: 0.028 eV/atom.